1.
Density functional theory data (PBE-GGA) for La2MgGaOs after structural relaxation.

Output
Energy, eV/cell: -25.8
Energy relative to the elements, eV/atom: -0.014
Magnetization, μB per atom: 0.000
Density, Mg/m³: 6.09

Lattice parameters (Å, degrees): 5.4485 5.4485 5.1602 90.00 90.00 90.00
Last column: nearest neighbours and their distance in Å.
Space group P4/mmm (No. 123)
Inequivalent atoms, fractional coordinates:
La1 0.0000 0.5000 0.0000 x2  2 Os 2.72
Mg1 0.0000 0.0000 0.5000 x1  2 Os 2.58
Ga1 0.5000 0.5000 0.5000 x1  8 La 3.75, 4 Mg 3.85
Os1 0.0000 0.0000 0.0000 x1  2 Mg 2.58, 4 La 2.72


2.
Density functional theory data (PBE-GGA) for LaMgGa2Pb after structural relaxation.

Output
Energy, eV/cell: -16.2
Energy relative to the elements, eV/atom: 0.018
Magnetization, μB per atom: 0.000
Density, Mg/m³: 6.13

Lattice parameters (Å, degrees): 5.0545 5.0545 5.4085 90.00 90.00 90.00
Last column: nearest neighbours and their distance in Å.
Space group P4/mmm (No. 123)
Inequivalent atoms, fractional coordinates:
La1 0.0000 0.0000 0.0000 x1  4 Pb 3.57, 8 Ga 3.70
Mg1 0.5000 0.5000 0.5000 x1  4 Ga 2.53, 2 Pb 2.70
Ga1 0.0000 0.5000 0.5000 x2  2 Mg 2.53
Pb1 0.5000 0.5000 0.0000 x1  2 Mg 2.70